# GGA-PBE LaGa3Tc, optimized geometry
data_LaGa3Tc
_chemical_formula_sum 'La2 Ga6 Tc2'
_symmetry_space_group_name_H-M 'P 63/m m c'
_symmetry_Int_Tables_number 194
_symmetry_space_group_name_Hall '-P 6c 2c'
_cell_length_a 6.3905
_cell_length_b 6.3905
_cell_length_c 5.6559
_cell_angle_alpha 90.00
_cell_angle_beta 90.00
_cell_angle_gamma 120.00
loop_
_atom_site_label
_atom_site_type_symbol
_atom_site_fract_x
_atom_site_fract_y
_atom_site_fract_z
_atom_site_occupancy
La1 La 0.3333 0.6667 0.2500 1
Ga1 Ga 0.1934 0.3867 0.7500 1
Tc1 Tc 0.0000 0.0000 0.0000 1
# **Spin magnetization**: 0.00 μB per formula unit
# **DOS(E_F)**: 4.1 states/eV/f.u.
# **Formation enthalpy at 0 K**: -0.46 eV per atom
# **Offset from the most stable computed form**: 0 meV/atom



# GGA-PBE LaGa2Tc2, optimized geometry
data_LaGa2Tc2
_chemical_formula_sum 'La2 Ga4 Tc4'
_symmetry_space_group_name_H-M 'I 4/m m m'
_symmetry_Int_Tables_number 139
_symmetry_space_group_name_Hall '-I 4 2'
_cell_length_a 4.5457
_cell_length_b 4.5457
_cell_length_c 9.6756
_cell_angle_alpha 90.00
_cell_angle_beta 90.00
_cell_angle_gamma 90.00
loop_
_atom_site_label
_atom_site_type_symbol
_atom_site_fract_x
_atom_site_fract_y
_atom_site_fract_z
_atom_site_occupancy
La1 La 0.0000 0.0000 0.0000 1
Ga1 Ga 0.0000 0.5000 0.2500 1
Tc1 Tc 0.0000 0.0000 0.3830 1
# **Spin magnetization**: 0.00 μB per formula unit
# **DOS(E_F)**: 5.5 states/eV/f.u.
# **Formation enthalpy at 0 K**: -0.21 eV per atom
# **Offset from the most stable computed form**: 199 meV/atom



# GGA-PBE La2TlGaTc, optimized geometry
data_La2TlGaTc
_chemical_formula_sum 'La2 Tl1 Ga1 Tc1'
_symmetry_space_group_name_H-M 'P 4/m m m'
_symmetry_Int_Tables_number 123
_symmetry_space_group_name_Hall '-P 4 2'
_cell_length_a 5.3958
_cell_length_b 5.3958
_cell_length_c 4.9998
_cell_angle_alpha 90.00
_cell_angle_beta 90.00
_cell_angle_gamma 90.00
loop_
_atom_site_label
_atom_site_type_symbol
_atom_site_fract_x
_atom_site_fract_y
_atom_site_fract_z
_atom_site_occupancy
La1 La 0.0000 0.5000 0.0000 1
Tl1 Tl 0.0000 0.0000 0.5000 1
Ga1 Ga 0.5000 0.5000 0.5000 1
Tc1 Tc 0.5000 0.5000 0.0000 1
# **Spin magnetization**: 0.00 μB per formula unit
# **DOS(E_F)**: 4.8 states/eV/f.u.
# **Formation enthalpy at 0 K**: -0.19 eV per atom



# GGA-PBE LaVGa2Tc, optimized geometry
data_LaVGa2Tc
_chemical_formula_sum 'La1 V1 Ga2 Tc1'
_symmetry_space_group_name_H-M 'P 4/m m m'
_symmetry_Int_Tables_number 123
_symmetry_space_group_name_Hall '-P 4 2'
_cell_length_a 4.9154
_cell_length_b 4.9154
_cell_length_c 4.5210
_cell_angle_alpha 90.00
_cell_angle_beta 90.00
_cell_angle_gamma 90.00
loop_
_atom_site_label
_atom_site_type_symbol
_atom_site_fract_x
_atom_site_fract_y
_atom_site_fract_z
_atom_site_occupancy
La1 La 0.0000 0.0000 0.0000 1
V1 V 0.5000 0.5000 0.5000 1
Ga1 Ga 0.0000 0.5000 0.5000 1
Tc1 Tc 0.5000 0.5000 0.0000 1
# **Spin magnetization**: 0.00 μB per formula unit
# **DOS(E_F)**: 3.5 states/eV/f.u.
# **Formation enthalpy at 0 K**: 0.07 eV per atom



# GGA-PBE LaGaTc2W, optimized geometry
data_LaGaTc2W
_chemical_formula_sum 'La1 Ga1 Tc2 W1'
_symmetry_space_group_name_H-M 'P 4/m m m'
_symmetry_Int_Tables_number 123
_symmetry_space_group_name_Hall '-P 4 2'
_cell_length_a 4.7353
_cell_length_b 4.7353
_cell_length_c 5.5972
_cell_angle_alpha 90.00
_cell_angle_beta 90.00
_cell_angle_gamma 90.00
loop_
_atom_site_label
_atom_site_type_symbol
_atom_site_fract_x
_atom_site_fract_y
_atom_site_fract_z
_atom_site_occupancy
La1 La 0.0000 0.0000 0.0000 1
Ga1 Ga 0.5000 0.5000 0.0000 1
Tc1 Tc 0.0000 0.5000 0.5000 1
W1 W 0.0000 0.0000 0.5000 1
# **Spin magnetization**: 0.00 μB per formula unit
# **DOS(E_F)**: 5.0 states/eV/f.u.
# **Formation enthalpy at 0 K**: 1.18 eV per atom



# GGA-PBE LaZnGa2Tc, optimized geometry
data_LaZnGa2Tc
_chemical_formula_sum 'La1 Zn1 Ga2 Tc1'
_symmetry_space_group_name_H-M 'P 4/m m m'
_symmetry_Int_Tables_number 123
_symmetry_space_group_name_Hall '-P 4 2'
_cell_length_a 4.7928
_cell_length_b 4.7928
_cell_length_c 4.8588
_cell_angle_alpha 90.00
_cell_angle_beta 90.00
_cell_angle_gamma 90.00
loop_
_atom_site_label
_atom_site_type_symbol
_atom_site_fract_x
_atom_site_fract_y
_atom_site_fract_z
_atom_site_occupancy
La1 La 0.0000 0.0000 0.0000 1
Zn1 Zn 0.5000 0.5000 0.0000 1
Ga1 Ga 0.0000 0.5000 0.5000 1
Tc1 Tc 0.5000 0.5000 0.5000 1
# **Spin magnetization**: 0.00 μB per formula unit
# **DOS(E_F)**: 2.7 states/eV/f.u.
# **Formation enthalpy at 0 K**: -0.30 eV per atom



# GGA-PBE LaGaTe2, optimized geometry
data_LaGaTe2
_chemical_formula_sum 'La2 Ga2 Te4'
_symmetry_space_group_name_H-M 'P 1 21/m 1'
_symmetry_Int_Tables_number 11
_cell_length_a 6.3219
_cell_length_b 4.5682
_cell_length_c 8.8559
_cell_angle_alpha 90.00
_cell_angle_beta 110.42
_cell_angle_gamma 90.00
loop_
_symmetry_equiv_pos_as_xyz
'x,y,z'
'-x,-y,-z'
'-x,y+1/2,-z'
'x,-y+1/2,z'
loop_
_atom_site_label
_atom_site_type_symbol
_atom_site_fract_x
_atom_site_fract_y
_atom_site_fract_z
_atom_site_occupancy
La1 La 0.1385 0.2500 0.2937 1
Ga1 Ga 0.2621 0.2500 0.8158 1
Te1 Te 0.2727 0.7500 0.0701 1
Te2 Te 0.2935 0.7500 0.5777 1
# **Spin magnetization**: 0.00 μB per formula unit
# **Energy relative to the elements, uncorrected**: -1.099 eV/atom



# GGA-PBE LaGaTe2, optimized geometry
data_LaGaTe2
_chemical_formula_sum 'La4 Ga4 Te8'
_symmetry_space_group_name_H-M 'I -4 2 d'
_symmetry_Int_Tables_number 122
_symmetry_space_group_name_Hall 'I -4 2bw'
_cell_length_a 7.1692
_cell_length_b 7.1692
_cell_length_c 14.5812
_cell_angle_alpha 90.00
_cell_angle_beta 90.00
_cell_angle_gamma 90.00
loop_
_atom_site_label
_atom_site_type_symbol
_atom_site_fract_x
_atom_site_fract_y
_atom_site_fract_z
_atom_site_occupancy
La1 La 0.0000 0.0000 0.0000 1
Ga1 Ga 0.0000 0.0000 0.5000 1
Te1 Te 0.2462 0.2500 0.1250 1
# **Spin magnetization**: 0.00 μB per formula unit
# **DOS(E_F)**: 0.0 states/eV/f.u.
# **Energy relative to the elements, uncorrected**: -0.738 eV/atom



# GGA-PBE LaGaTe2, optimized geometry
data_LaGaTe2
_chemical_formula_sum 'La2 Ga2 Te4'
_symmetry_space_group_name_H-M 'C 1 m 1'
_symmetry_Int_Tables_number 8
_cell_length_a 11.0644
_cell_length_b 4.6126
_cell_length_c 7.4990
_cell_angle_alpha 90.00
_cell_angle_beta 132.67
_cell_angle_gamma 90.00
loop_
_symmetry_equiv_pos_as_xyz
'x,y,z'
'x,-y,z'
'x+1/2,y+1/2,z'
'x+1/2,-y+1/2,z'
loop_
_atom_site_label
_atom_site_type_symbol
_atom_site_fract_x
_atom_site_fract_y
_atom_site_fract_z
_atom_site_occupancy
La1 La 0.0000 0.0000 0.0000 1
Ga1 Ga 0.4994 0.5000 0.4143 1
Te1 Te 0.2417 0.5000 0.4076 1
Te2 Te 0.2579 0.0000 0.9233 1
# **Spin magnetization**: 0.00 μB per formula unit
# **Energy relative to the elements, uncorrected**: -0.987 eV/atom



# GGA-PBE LaGa3Te, optimized geometry
data_LaGa3Te
_chemical_formula_sum 'La1 Ga3 Te1'
_symmetry_space_group_name_H-M 'P m -3 m'
_symmetry_Int_Tables_number 221
_symmetry_space_group_name_Hall '-P 4 2 3'
_cell_length_a 5.3822
_cell_length_b 5.3822
_cell_length_c 5.3822
_cell_angle_alpha 90.00
_cell_angle_beta 90.00
_cell_angle_gamma 90.00
loop_
_atom_site_label
_atom_site_type_symbol
_atom_site_fract_x
_atom_site_fract_y
_atom_site_fract_z
_atom_site_occupancy
La1 La 0.0000 0.0000 0.0000 1
Ga1 Ga 0.0000 0.5000 0.5000 1
Te1 Te 0.5000 0.5000 0.5000 1
# **Spin magnetization**: 0.00 μB per formula unit
# **DOS(E_F)**: 4.9 states/eV/f.u.
# **Offset from the most stable computed form**: 0 meV/atom
# **Energy relative to the elements, uncorrected**: 0.305 eV/atom



# GGA-PBE La3Ga5Te12, optimized geometry
data_La3Ga5Te12
_chemical_formula_sum 'La24 Ga40 Te96'
_symmetry_space_group_name_H-M 'I a -3 d'
_symmetry_Int_Tables_number 230
_symmetry_space_group_name_Hall '-I 4bd 2c 3'
_cell_length_a 17.4869
_cell_length_b 17.4869
_cell_length_c 17.4869
_cell_angle_alpha 90.00
_cell_angle_beta 90.00
_cell_angle_gamma 90.00
loop_
_atom_site_label
_atom_site_type_symbol
_atom_site_fract_x
_atom_site_fract_y
_atom_site_fract_z
_atom_site_occupancy
La1 La 0.0000 0.2500 0.1250 1
Ga1 Ga 0.0000 0.0000 0.0000 1
Ga2 Ga 0.0000 0.2500 0.3750 1
Te1 Te 0.0269 0.0591 0.6492 1
# **Spin magnetization**: 0.00 μB per formula unit
# **DOS(E_F)**: 6.9 states/eV/f.u.
# **Energy relative to the elements, uncorrected**: -0.725 eV/atom



# GGA-PBE LaGa3Te, optimized geometry
data_LaGa3Te
_chemical_formula_sum 'La1 Ga3 Te1'
_symmetry_space_group_name_H-M 'P m -3 m'
_symmetry_Int_Tables_number 221
_symmetry_space_group_name_Hall '-P 4 2 3'
_cell_length_a 5.7533
_cell_length_b 5.7533
_cell_length_c 5.7533
_cell_angle_alpha 90.00
_cell_angle_beta 90.00
_cell_angle_gamma 90.00
loop_
_atom_site_label
_atom_site_type_symbol
_atom_site_fract_x
_atom_site_fract_y
_atom_site_fract_z
_atom_site_occupancy
La1 La 0.0000 0.0000 0.0000 1
Ga1 Ga 0.0000 0.0000 0.5000 1
Te1 Te 0.5000 0.5000 0.5000 1
# **Spin magnetization**: 0.00 μB per formula unit
# **DOS(E_F)**: 3.5 states/eV/f.u.
# **Offset from the most stable computed form**: 355 meV/atom
# **Energy relative to the elements, uncorrected**: 0.660 eV/atom



# GGA-PBE LaGa4Te2, optimized geometry
data_LaGa4Te2
_chemical_formula_sum 'La2 Ga8 Te4'
_symmetry_space_group_name_H-M 'I 4/m m m'
_symmetry_Int_Tables_number 139
_symmetry_space_group_name_Hall '-I 4 2'
_cell_length_a 5.8897
_cell_length_b 5.8897
_cell_length_c 15.0773
_cell_angle_alpha 90.00
_cell_angle_beta 90.00
_cell_angle_gamma 90.00
loop_
_atom_site_label
_atom_site_type_symbol
_atom_site_fract_x
_atom_site_fract_y
_atom_site_fract_z
_atom_site_occupancy
La1 La 0.0000 0.0000 0.0000 1
Ga1 Ga 0.0000 0.0000 0.2074 1
Ga2 Ga 0.0000 0.5000 0.0000 1
Te1 Te 0.0000 0.0000 0.3826 1
# **Spin magnetization**: 0.00 μB per formula unit
# **DOS(E_F)**: 3.4 states/eV/f.u.
# **Energy relative to the elements, uncorrected**: 0.189 eV/atom



# GGA-PBE La2Ga2Te, optimized geometry
data_La2Ga2Te
_chemical_formula_sum 'La4 Ga4 Te2'
_symmetry_space_group_name_H-M 'P 4/m b m'
_symmetry_Int_Tables_number 127
_symmetry_space_group_name_Hall '-P 4 2ab'
_cell_length_a 8.5579
_cell_length_b 8.5579
_cell_length_c 4.3175
_cell_angle_alpha 90.00
_cell_angle_beta 90.00
_cell_angle_gamma 90.00
loop_
_atom_site_label
_atom_site_type_symbol
_atom_site_fract_x
_atom_site_fract_y
_atom_site_fract_z
_atom_site_occupancy
La1 La 0.1843 0.3157 0.0000 1
Ga1 Ga 0.1050 0.6050 0.5000 1
Te1 Te 0.0000 0.0000 0.0000 1
# **Spin magnetization**: 0.00 μB per formula unit
# **DOS(E_F)**: 5.9 states/eV/f.u.
# **Energy relative to the elements, uncorrected**: -0.654 eV/atom



# GGA-PBE LaGaTe4, optimized geometry
data_LaGaTe4
_chemical_formula_sum 'La2 Ga2 Te8'
_symmetry_space_group_name_H-M 'P 1 21/m 1'
_symmetry_Int_Tables_number 11
_cell_length_a 6.5083
_cell_length_b 9.9471
_cell_length_c 6.6636
_cell_angle_alpha 90.00
_cell_angle_beta 101.73
_cell_angle_gamma 90.00
loop_
_symmetry_equiv_pos_as_xyz
'x,y,z'
'-x,-y,-z'
'-x,y+1/2,-z'
'x,-y+1/2,z'
loop_
_atom_site_label
_atom_site_type_symbol
_atom_site_fract_x
_atom_site_fract_y
_atom_site_fract_z
_atom_site_occupancy
La1 La 0.0542 0.2500 0.1077 1
Ga1 Ga 0.4690 0.7500 0.4385 1
Te1 Te 0.1371 0.2500 0.6212 1
Te2 Te 0.2282 0.5519 0.2363 1
Te3 Te 0.4418 0.7500 0.8293 1
# **Spin magnetization**: 0.00 μB per formula unit
# **DOS(E_F)**: 4.1 states/eV/f.u.
# **Energy relative to the elements, uncorrected**: -0.619 eV/atom



# GGA-PBE LaGa2Te4, optimized geometry
data_LaGa2Te4
_chemical_formula_sum 'La2 Ga4 Te8'
_symmetry_space_group_name_H-M 'I 4/m'
_symmetry_Int_Tables_number 87
_symmetry_space_group_name_Hall '-I 4'
_cell_length_a 8.2666
_cell_length_b 8.2666
_cell_length_c 6.8721
_cell_angle_alpha 90.00
_cell_angle_beta 90.00
_cell_angle_gamma 90.00
loop_
_atom_site_label
_atom_site_type_symbol
_atom_site_fract_x
_atom_site_fract_y
_atom_site_fract_z
_atom_site_occupancy
La1 La 0.0000 0.0000 0.0000 1
Ga1 Ga 0.0000 0.5000 0.2500 1
Te1 Te 0.1665 0.3014 0.5000 1
# **Spin magnetization**: 0.02 μB per formula unit
# **DOS(E_F)**: 3.4 states/eV/f.u.
# **Energy relative to the elements, uncorrected**: -0.577 eV/atom



# GGA-PBE La2GaTe, optimized geometry
data_La2GaTe
_chemical_formula_sum 'La8 Ga4 Te4'
_symmetry_space_group_name_H-M 'F m -3 m'
_symmetry_Int_Tables_number 225
_symmetry_space_group_name_Hall '-F 4 2 3'
_cell_length_a 7.7711
_cell_length_b 7.7711
_cell_length_c 7.7711
_cell_angle_alpha 90.00
_cell_angle_beta 90.00
_cell_angle_gamma 90.00
loop_
_atom_site_label
_atom_site_type_symbol
_atom_site_fract_x
_atom_site_fract_y
_atom_site_fract_z
_atom_site_occupancy
La1 La 0.2500 0.2500 0.2500 1
Ga1 Ga 0.0000 0.0000 0.0000 1
Te1 Te 0.0000 0.0000 0.5000 1
# **Spin magnetization**: 0.00 μB per formula unit
# **DOS(E_F)**: 9.1 states/eV/f.u.
# **Offset from the most stable computed form**: 276 meV/atom
# **Energy relative to the elements, uncorrected**: -0.807 eV/atom



# GGA-PBE La2GaTe, optimized geometry
data_La2GaTe
_chemical_formula_sum 'La8 Ga4 Te4'
_symmetry_space_group_name_H-M 'C m c m'
_symmetry_Int_Tables_number 63
_symmetry_space_group_name_Hall '-C 2c 2'
_cell_length_a 4.6448
_cell_length_b 24.5175
_cell_length_c 4.4233
_cell_angle_alpha 90.00
_cell_angle_beta 90.00
_cell_angle_gamma 90.00
loop_
_atom_site_label
_atom_site_type_symbol
_atom_site_fract_x
_atom_site_fract_y
_atom_site_fract_z
_atom_site_occupancy
La1 La 0.0000 0.0610 0.2500 1
La2 La 0.0000 0.3250 0.2500 1
Ga1 Ga 0.0000 0.4645 0.2500 1
Te1 Te 0.0000 0.1921 0.2500 1
# **Spin magnetization**: 0.00 μB per formula unit
# **DOS(E_F)**: 3.3 states/eV/f.u.
# **Offset from the most stable computed form**: 0 meV/atom
# **Energy relative to the elements, uncorrected**: -1.083 eV/atom



# GGA-PBE La3GaTe6, optimized geometry
data_La3GaTe6
_chemical_formula_sum 'La12 Ga4 Te24'
_symmetry_space_group_name_H-M 'C m c 21'
_symmetry_Int_Tables_number 36
_cell_length_a 12.5227
_cell_length_b 15.5164
_cell_length_c 7.5212
_cell_angle_alpha 90.00
_cell_angle_beta 90.00
_cell_angle_gamma 90.00
loop_
_symmetry_equiv_pos_as_xyz
'x,y,z'
'-x,-y,z+1/2'
'-x,y,z'
'x,-y,z+1/2'
'x+1/2,y+1/2,z'
'-x+1/2,-y+1/2,z+1/2'
'-x+1/2,y+1/2,z'
'x+1/2,-y+1/2,z+1/2'
loop_
_atom_site_label
_atom_site_type_symbol
_atom_site_fract_x
_atom_site_fract_y
_atom_site_fract_z
_atom_site_occupancy
La1 La 0.0000 0.0985 0.0000 1
La2 La 0.1816 0.4032 0.8958 1
Ga1 Ga 0.0000 0.2984 0.3550 1
Te1 Te 0.0000 0.2799 0.7074 1
Te2 Te 0.0000 0.4598 0.2146 1
Te3 Te 0.1620 0.0342 0.6986 1
Te4 Te 0.1688 0.2362 0.1822 1
# **Spin magnetization**: 0.00 μB per formula unit
# **Energy relative to the elements, uncorrected**: -1.265 eV/atom



# GGA-PBE LaGa2Te2, optimized geometry
data_LaGa2Te2
_chemical_formula_sum 'La2 Ga4 Te4'
_symmetry_space_group_name_H-M 'I 4/m m m'
_symmetry_Int_Tables_number 139
_symmetry_space_group_name_Hall '-I 4 2'
_cell_length_a 5.7463
_cell_length_b 5.7463
_cell_length_c 8.5584
_cell_angle_alpha 90.00
_cell_angle_beta 90.00
_cell_angle_gamma 90.00
loop_
_atom_site_label
_atom_site_type_symbol
_atom_site_fract_x
_atom_site_fract_y
_atom_site_fract_z
_atom_site_occupancy
La1 La 0.0000 0.0000 0.0000 1
Ga1 Ga 0.0000 0.0000 0.3513 1
Te1 Te 0.0000 0.5000 0.2500 1
# **Spin magnetization**: 0.00 μB per formula unit
# **DOS(E_F)**: 3.3 states/eV/f.u.
# **Offset from the most stable computed form**: 60 meV/atom
# **Energy relative to the elements, uncorrected**: -0.623 eV/atom